Compound: Nd3ZnCu2
Source: the Alexandria database
Functional: PBE
Structure: relaxed

Lattice parameters (Å, degrees): 5.1296 5.1296 12.5726 90.00 90.00 120.00
Closest atoms and distances in Å follow each position.
Space group P-3m1 (No. 164)
Unique sites:
Nd (0.0000, 0.0000, 0.2455) (multiplicity 2)  5 Cu 3.09-3.20, 3 Zn 3.15
Nd (0.3333, 0.6667, 0.4174) (multiplicity 2)  4 Cu 3.08-3.14, 4 Zn 3.16-3.17
Nd (0.3333, 0.6667, 0.9213) (multiplicity 2)  7 Cu 3.12-3.19, 1 Zn 3.16
Zn (0.3333, 0.6667, 0.6697) (multiplicity 2)  8 Nd 3.15-3.17
Cu (0.0000, 0.0000, 0.0000) (multiplicity 1)  8 Nd 3.09-3.12
Cu (0.0000, 0.0000, 0.5000) (multiplicity 1)  8 Nd 3.14-3.20
Cu (0.3333, 0.6667, 0.1722) (multiplicity 2)  8 Nd 3.08-3.19

Summary:
ρ = 7.25 g/cm³
E above lowest polymorph = 0.010 eV/atom
DFT formation energy = -18.3 kJ per mole of atoms